This record from the Alexandria database describes a geometry-optimized Dy2Fe15Si2CN structure. The functional is GGA-PBE.

Structure (POSCAR):
```
Dy2Fe15Si2CN
1.0
6.448 0.000 0.000
0.844 6.411 0.000
0.838 0.740 6.373
Dy Fe Si C N
2 15 2 1 1
Direct
0.161 0.149 0.153
0.839 0.851 0.847
0.000 0.500 0.500
0.153 0.646 0.159
0.160 0.162 0.649
0.191 0.807 0.502
0.216 0.508 0.781
0.352 0.846 0.842
0.497 0.776 0.223
0.500 0.000 0.500
0.500 0.500 0.000
0.503 0.224 0.777
0.648 0.154 0.158
0.784 0.492 0.219
0.809 0.193 0.498
0.840 0.838 0.351
0.847 0.354 0.841
0.400 0.400 0.398
0.600 0.600 0.602
0.000 0.500 0.000
0.500 0.000 0.000
```

Calculated values
Raw formation energy in meV/atom: -183
Electronic total energy in eV/atom: -8.018
Spin magnetization in μB per formula unit: 31.8